Material: K2WS4
Method: DFT, PBE-GGA
State: relaxed

a = 7.4029 Å, b = 7.4029 Å, c = 4.0116 Å
α = 90.00°, β = 90.00°, γ = 90.00°
Fractional positions:
K (0.0000, 0.5000, 0.0000)
K (0.5000, 0.0000, 0.0000)
W (0.0000, 0.0000, 0.5000)
S (0.2191, 0.2191, 0.5000)
S (0.2191, 0.7809, 0.5000)
S (0.7809, 0.2191, 0.5000)
S (0.7809, 0.7809, 0.5000)

Output
Crystal system ... tetragonal
Final energy ... -4.95 eV/atom
Raw formation energy ... -425 meV per atom
Energy above the most stable polymorph in this dataset ... 558 meV per atom
Size of the total moment ... 0.17 μB/atom


Material: KEuCdAu
Method: DFT, PBE-GGA
State: relaxed

a = 5.5661 Å, b = 5.5661 Å, c = 5.5661 Å
α = 60.00°, β = 60.00°, γ = 60.00°
Fractional positions:
K (0.0000, 0.0000, 0.0000)
Eu (0.5000, 0.5000, 0.5000)
Cd (0.7500, 0.7500, 0.7500)
Au (0.2500, 0.2500, 0.2500)

Output
Energy relative to the elements ... -0.2367 eV/atom
Crystal system ... cubic
Final energy ... -4.13 eV/atom
Size of the total moment ... 1.90 μB/atom


Material: CdAs
Method: DFT, PBE-GGA
State: relaxed

a = 6.2182 Å, b = 6.2182 Å, c = 5.3001 Å
α = 90.50°, β = 90.50°, γ = 27.12°
Fractional positions:
Cd (0.1360, 0.1360, 0.9996)
Cd (0.8640, 0.8640, 0.0004)
As (0.3992, 0.3992, 0.5019)
As (0.6008, 0.6008, 0.4981)

Output
Energy relative to the elements ... 0.1101 eV/atom
Crystal system ... monoclinic
Final energy ... -2.67 eV/atom
Energy above the most stable polymorph in this dataset ... 192 meV per atom
Size of the total moment ... 0.00 μB/atom